This record from the Alexandria database describes a relaxed structure of GeBSbI2. The functional is GGA-PBE.

Unit cell a=5.0384 b=5.0384 c=5.0073 alpha=90.00 beta=90.00 gamma=90.00
Fractional positions:
Ge: 0.0000 0.0000 0.0000
B: 0.5000 0.5000 0.5000
Sb: 0.5000 0.5000 0.0000
I: 0.0000 0.5000 0.5000
I: 0.5000 0.0000 0.5000

Summary:
**Space-group type**: P4/mmm
**Formation energy (no corrections)**: 0.89 eV/atom
**Relative energy among the computed polymorphs**: 0 meV/atom

---

This record from the Alexandria database describes a relaxed structure of NaReB2. The functional is GGA-PBE.

Unit cell a=6.3231 b=6.3231 c=6.3231 alpha=124.47 beta=124.47 gamma=82.42
Fractional positions:
Na: 0.0000 0.0000 0.0000
Na: 0.7500 0.2500 0.5000
Re: 0.2500 0.7500 0.5000
Re: 0.5000 0.5000 0.0000
B: 0.2709 0.6250 0.1459
B: 0.3750 0.5209 0.6459
B: 0.4791 0.1250 0.8541
B: 0.8750 0.7291 0.3541

Summary:
**Energy of formation**: 3.07 eV/f.u.
**Space-group type**: I-42d
**Relative energy among the computed polymorphs**: 0 meV/atom

---

This record from the Alexandria database describes a relaxed structure of TiCu2Au3. The functional is GGA-PBE.

Unit cell a=10.4862 b=10.4862 c=6.9154 alpha=100.19 beta=100.19 gamma=15.19
Fractional positions:
Ti: 0.1417 0.1417 0.3588
Ti: 0.8583 0.8583 0.6412
Cu: 0.1922 0.1922 0.0027
Cu: 0.4770 0.4770 0.6688
Cu: 0.5230 0.5230 0.3312
Cu: 0.8078 0.8078 0.9973
Au: 0.0663 0.0663 0.0129
Au: 0.2438 0.2438 0.6853
Au: 0.3905 0.3905 0.3216
Au: 0.6095 0.6095 0.6784
Au: 0.7562 0.7562 0.3147
Au: 0.9337 0.9337 0.9871

Summary:
**Energy of formation**: -0.28 eV/f.u.
**Space-group type**: C2/m
**Relative energy among the computed polymorphs**: 124 meV/atom

---

This record from the Alexandria database describes a relaxed structure of BaCeH2. The functional is GGA-PBE.

Unit cell a=6.7144 b=6.7144 c=6.7144 alpha=32.85 beta=32.85 gamma=32.85
Fractional positions:
Ba: 0.0000 0.0000 0.0000
Ce: 0.5000 0.5000 0.5000
H: 0.2286 0.2286 0.2286
H: 0.7714 0.7714 0.7714

Summary:
**Space-group type**: R-3m

---

This record from the Alexandria database describes a relaxed structure of Cs3SrEr2S6. The functional is GGA-PBE.

Unit cell a=7.2748 b=7.2748 c=8.3923 alpha=98.33 beta=98.33 gamma=120.05
Fractional positions:
Cs: 0.0000 0.0000 0.0000
Cs: 0.3386 0.6614 0.0000
Cs: 0.6614 0.3386 0.0000
Sr: 0.5000 0.5000 0.5000
Er: 0.1674 0.8326 0.5000
Er: 0.8326 0.1674 0.5000
S: 0.0796 0.4383 0.3156
S: 0.2020 0.2020 0.6815
S: 0.4383 0.0796 0.3156
S: 0.5617 0.9204 0.6844
S: 0.7980 0.7980 0.3185
S: 0.9204 0.5617 0.6844

Summary:
**Space-group type**: C2/m
**Formation energy (no corrections)**: -1.64 eV/atom

---

This record from the Alexandria database describes a relaxed structure of Pr4Nd2TmMg. The functional is GGA-PBE.

Unit cell a=5.1133 b=5.1133 c=10.2280 alpha=90.00 beta=90.00 gamma=90.00
Fractional positions:
Pr: 0.0000 0.5000 0.2481
Pr: 0.0000 0.5000 0.7519
Pr: 0.5000 0.0000 0.2481
Pr: 0.5000 0.0000 0.7519
Nd: 0.0000 0.0000 0.0000
Nd: 0.5000 0.5000 0.5000
Tm: 0.0000 0.0000 0.5000
Mg: 0.5000 0.5000 0.0000

Summary:
**Energy of formation**: 0.03 eV/f.u.
**Space-group type**: P4/mmm

---

Result set for final energy: -2.818; -6.014; -4.366; -3.865; -4.821; -4.336 eV/atom, one per record in the order listed.
Result set for D(E_F): 2.9; 0.5; 3.1; 6.6; 12.4; 11.0 states/eV/f.u., one per record in the order listed.
Result set for density: 6.0; 4.6; 13.0; 5.9; 4.6; 6.5 Mg/m³, one per record in the order listed.